Er3SbS PBE relaxed; N(E_F) = 3.6 states/eV/f.u.; ρ = 8.8 g/cm³; space group = Pnma; calculated volume = 24.77 Å³ per atom; size of the total moment = 0.0 Bohr magnetons per cell; energy above the lowest structure with this stoichiometry = 0 meV/atom; raw formation energy = -1.231 eV per atom
1.0
4.034 0.000 0.000
0.000 8.595 0.000
0.000 0.000 14.292
Er Sb S
12 4 4
direct
0.250 0.527 0.388 Er
0.750 0.473 0.612 Er
0.750 0.837 0.485 Er
0.750 0.973 0.888 Er
0.250 0.795 0.720 Er
0.750 0.337 0.015 Er
0.250 0.295 0.780 Er
0.250 0.663 0.985 Er
0.250 0.163 0.515 Er
0.750 0.205 0.280 Er
0.250 0.027 0.112 Er
0.750 0.705 0.220 Er
0.750 0.067 0.673 Sb
0.250 0.933 0.327 Sb
0.750 0.567 0.827 Sb
0.250 0.433 0.173 Sb
0.250 0.162 0.946 S
0.250 0.662 0.554 S
0.750 0.338 0.446 S
0.750 0.838 0.054 S